## ZnNi2AgN (PBE-GGA)

Data for a relaxed structure of ZnNi2AgN.

extended XYZ file:
```
5
Lattice="-3.4462 -0.5675 1.5741 1.6733 -1.1776 3.2388 0.0043 3.8395 1.3938" Properties=species:S:1:pos:R:3 pbc="T T T"
Ni 0.8367 -0.5888 1.6194
Ni -1.7231 -0.2838 0.7871
Zn 0.0022 1.9198 0.6969
Ag -0.8843 1.0472 3.1033
N 0.0000 0.0000 0.0000
```

DFT total energy	-4.692	eV/atom
SG	P4/mmm
crystal system	tetragonal
formation energy without anion corrections	0.111	eV per atom

## NpAgN2 (PBE-GGA)

Data for a relaxed structure of NpAgN2.

extended XYZ file:
```
4
Lattice="-1.8891 -2.9700 0.3837 0.2235 -1.8650 3.0014 -5.1106 1.5866 3.4550" Properties=species:S:1:pos:R:3 pbc="T T T"
Np -3.3881 -1.6242 3.4200
Ag 0.0000 0.0000 0.0000
N -3.5291 0.4762 2.6472
N -3.2471 -3.7246 4.1929
```

DFT total energy	-8.641	eV/atom
SG	R-3m
crystal system	trigonal
formation energy without anion corrections	-0.530	eV per atom

## Np2AgS2N2 (PBE-GGA)

Data for a relaxed structure of Np2AgS2N2.

extended XYZ file:
```
7
Lattice="3.8019 0.0000 0.0000 -1.9009 3.2925 0.0000 0.0000 0.0000 10.9155" Properties=species:S:1:pos:R:3 pbc="T T T"
Np 1.9009 1.0975 4.0389
Np 0.0000 2.1950 6.8767
Ag 0.0000 0.0000 0.0000
S 0.0000 0.0000 8.5478
S 0.0000 0.0000 2.3678
N 1.9009 1.0975 6.2709
N 0.0000 2.1950 4.6446
```

DFT total energy	-8.680	eV/atom
SG	P-3m1
crystal system	trigonal
formation energy without anion corrections	-1.017	eV per atom

## NpAgSN (PBE-GGA)

Data for a relaxed structure of NpAgSN.

extended XYZ file:
```
8
Lattice="3.8046 0.0000 0.0000 1.9023 3.2949 0.0000 1.9023 1.0983 11.2598" Properties=species:S:1:pos:R:3 pbc="T T T"
Np 3.8046 2.1966 1.4073
Np 3.8046 2.1966 9.8525
Ag 5.7069 3.2949 6.5878
Ag 1.9023 1.0983 4.6720
S 1.9023 1.0983 8.0993
S 5.7069 3.2949 3.1605
N 5.7069 3.2949 10.4381
N 1.9023 1.0983 0.8218
```

DFT total energy	-7.904	eV/atom
SG	R-3m
crystal system	trigonal
formation energy without anion corrections	-0.843	eV per atom

Repeat the third record exactly.
## Np2AgS2N2 (PBE-GGA)

Data for a relaxed structure of Np2AgS2N2.

extended XYZ file:
```
7
Lattice="3.8019 0.0000 0.0000 -1.9009 3.2925 0.0000 0.0000 0.0000 10.9155" Properties=species:S:1:pos:R:3 pbc="T T T"
Np 1.9009 1.0975 4.0389
Np 0.0000 2.1950 6.8767
Ag 0.0000 0.0000 0.0000
S 0.0000 0.0000 8.5478
S 0.0000 0.0000 2.3678
N 1.9009 1.0975 6.2709
N 0.0000 2.1950 4.6446
```

DFT total energy	-8.680	eV/atom
SG	P-3m1
crystal system	trigonal
formation energy without anion corrections	-1.017	eV per atom

Which value of formation energy without anion corrections does entry 3 give?
-1.017 eV per atom

Please write out number 4 again, unchanged.
## NpAgSN (PBE-GGA)

Data for a relaxed structure of NpAgSN.

extended XYZ file:
```
8
Lattice="3.8046 0.0000 0.0000 1.9023 3.2949 0.0000 1.9023 1.0983 11.2598" Properties=species:S:1:pos:R:3 pbc="T T T"
Np 3.8046 2.1966 1.4073
Np 3.8046 2.1966 9.8525
Ag 5.7069 3.2949 6.5878
Ag 1.9023 1.0983 4.6720
S 1.9023 1.0983 8.0993
S 5.7069 3.2949 3.1605
N 5.7069 3.2949 10.4381
N 1.9023 1.0983 0.8218
```

DFT total energy	-7.904	eV/atom
SG	R-3m
crystal system	trigonal
formation energy without anion corrections	-0.843	eV per atom